1.
VASP calculation (PBE-GGA) on a relaxed structure of YHfBi2.

N(E_F) (states/eV/atom): 0.87

Cell and atoms, written as CIF:
```
data_YHfBi2
_cell_length_a 11.414
_cell_length_b 11.414
_cell_length_c 11.414
_cell_angle_alpha 17.48
_cell_angle_beta 17.48
_cell_angle_gamma 17.48
_space_group_name_H-M_alt 'P 1'
_space_group_IT_number 1
loop_
_space_group_symop_operation_xyz
'x,y,z'
loop_
_atom_site_label
_atom_site_fract_x
_atom_site_fract_y
_atom_site_fract_z
Y1 0.000 0.000 0.000
Hf1 0.500 0.500 0.500
Bi1 0.095 0.095 0.095
Bi2 0.905 0.905 0.905
```

---

2.
VASP calculation (PBE-GGA) on a relaxed structure of YHfBi2.

N(E_F) (states/eV/atom): 1.09

Cell and atoms, written as CIF:
```
data_YHfBi2
_cell_length_a 5.323
_cell_length_b 5.323
_cell_length_c 5.323
_cell_angle_alpha 60.00
_cell_angle_beta 60.00
_cell_angle_gamma 60.00
_space_group_name_H-M_alt 'P 1'
_space_group_IT_number 1
loop_
_space_group_symop_operation_xyz
'x,y,z'
loop_
_atom_site_label
_atom_site_fract_x
_atom_site_fract_y
_atom_site_fract_z
Y1 0.000 0.000 0.000
Hf1 0.500 0.500 0.500
Bi1 0.250 0.250 0.250
Bi2 0.750 0.750 0.750
```

---

3.
VASP calculation (PBE-GGA) on a relaxed structure of YHfBi2.

N(E_F) (states/eV/atom): 0.91

Cell and atoms, written as CIF:
```
data_YHfBi2
_cell_length_a 8.315
_cell_length_b 8.315
_cell_length_c 8.315
_cell_angle_alpha 130.93
_cell_angle_beta 130.93
_cell_angle_gamma 71.92
_space_group_name_H-M_alt 'P 1'
_space_group_IT_number 1
loop_
_space_group_symop_operation_xyz
'x,y,z'
loop_
_atom_site_label
_atom_site_fract_x
_atom_site_fract_y
_atom_site_fract_z
Y1 0.000 0.000 0.000
Y2 0.750 0.250 0.500
Hf1 0.250 0.750 0.500
Hf2 0.500 0.500 0.000
Bi1 0.151 0.625 0.026
Bi2 0.375 0.401 0.526
Bi3 0.599 0.125 0.974
Bi4 0.875 0.849 0.474
```

---

Relative energy table, unit kJ/mol of atoms: 1 25.8; 2 0.0; 3 36.6

---

1.
VASP calculation (PBE-GGA) on a relaxed structure of Hf2Zn2Bi.

N(E_F) (states/eV/atom): 1.20

Cell and atoms, written as CIF:
```
data_Hf2Zn2Bi
_cell_length_a 8.198
_cell_length_b 8.198
_cell_length_c 8.198
_cell_angle_alpha 153.91
_cell_angle_beta 153.91
_cell_angle_gamma 37.22
_space_group_name_H-M_alt 'P 1'
_space_group_IT_number 1
loop_
_space_group_symop_operation_xyz
'x,y,z'
loop_
_atom_site_label
_atom_site_fract_x
_atom_site_fract_y
_atom_site_fract_z
Hf1 0.105 0.105 0.000
Hf2 0.895 0.895 0.000
Zn1 0.250 0.750 0.500
Zn2 0.750 0.250 0.500
Bi1 0.500 0.500 0.000
```

---

2.
VASP calculation (PBE-GGA) on a relaxed structure of Hf2Zn2Bi.

N(E_F) (states/eV/atom): 0.59

Cell and atoms, written as CIF:
```
data_Hf2Zn2Bi
_cell_length_a 7.084
_cell_length_b 7.084
_cell_length_c 3.976
_cell_angle_alpha 90.00
_cell_angle_beta 90.00
_cell_angle_gamma 90.00
_space_group_name_H-M_alt 'P 1'
_space_group_IT_number 1
loop_
_space_group_symop_operation_xyz
'x,y,z'
loop_
_atom_site_label
_atom_site_fract_x
_atom_site_fract_y
_atom_site_fract_z
Hf1 0.170 0.330 0.000
Hf2 0.330 0.830 0.000
Hf3 0.670 0.170 0.000
Hf4 0.830 0.670 0.000
Zn1 0.121 0.621 0.500
Zn2 0.379 0.121 0.500
Zn3 0.621 0.879 0.500
Zn4 0.879 0.379 0.500
Bi1 0.000 0.000 0.500
Bi2 0.500 0.500 0.500
```

---

Relative energy table, unit kJ/mol of atoms: 1 13.1; 2 0.0

---

1.
VASP calculation (PBE-GGA) on a relaxed structure of HfZnBi3.

N(E_F) (states/eV/atom): 0.95

Cell and atoms, written as CIF:
```
data_HfZnBi3
_cell_length_a 5.307
_cell_length_b 5.307
_cell_length_c 5.307
_cell_angle_alpha 90.00
_cell_angle_beta 90.00
_cell_angle_gamma 90.00
_space_group_name_H-M_alt 'P 1'
_space_group_IT_number 1
loop_
_space_group_symop_operation_xyz
'x,y,z'
loop_
_atom_site_label
_atom_site_fract_x
_atom_site_fract_y
_atom_site_fract_z
Hf1 0.000 0.000 0.000
Zn1 0.500 0.500 0.500
Bi1 0.000 0.500 0.500
Bi2 0.500 0.000 0.500
Bi3 0.500 0.500 0.000
```

---

2.
VASP calculation (PBE-GGA) on a relaxed structure of HfZnBi3.

N(E_F) (states/eV/atom): 0.74

Cell and atoms, written as CIF:
```
data_HfZnBi3
_cell_length_a 5.643
_cell_length_b 5.643
_cell_length_c 5.643
_cell_angle_alpha 90.00
_cell_angle_beta 90.00
_cell_angle_gamma 90.00
_space_group_name_H-M_alt 'P 1'
_space_group_IT_number 1
loop_
_space_group_symop_operation_xyz
'x,y,z'
loop_
_atom_site_label
_atom_site_fract_x
_atom_site_fract_y
_atom_site_fract_z
Hf1 0.000 0.000 0.000
Zn1 0.500 0.500 0.500
Bi1 0.000 0.000 0.500
Bi2 0.000 0.500 0.000
Bi3 0.500 0.000 0.000
```

---

Relative energy table, unit kJ/mol of atoms: 1 34.8; 2 0.0

---

1.
VASP calculation (PBE-GGA) on a relaxed structure of Hf3ZnBi.

N(E_F) (states/eV/atom): 0.99

Cell and atoms, written as CIF:
```
data_Hf3ZnBi
_cell_length_a 4.962
_cell_length_b 4.962
_cell_length_c 4.962
_cell_angle_alpha 90.00
_cell_angle_beta 90.00
_cell_angle_gamma 90.00
_space_group_name_H-M_alt 'P 1'
_space_group_IT_number 1
loop_
_space_group_symop_operation_xyz
'x,y,z'
loop_
_atom_site_label
_atom_site_fract_x
_atom_site_fract_y
_atom_site_fract_z
Hf1 0.000 0.000 0.500
Hf2 0.000 0.500 0.000
Hf3 0.500 0.000 0.000
Zn1 0.000 0.000 0.000
Bi1 0.500 0.500 0.500
```

---

2.
VASP calculation (PBE-GGA) on a relaxed structure of Hf3ZnBi.

N(E_F) (states/eV/atom): 0.75

Cell and atoms, written as CIF:
```
data_Hf3ZnBi
_cell_length_a 8.110
_cell_length_b 8.110
_cell_length_c 7.113
_cell_angle_alpha 95.01
_cell_angle_beta 95.01
_cell_angle_gamma 28.21
_space_group_name_H-M_alt 'P 1'
_space_group_IT_number 1
loop_
_space_group_symop_operation_xyz
'x,y,z'
loop_
_atom_site_label
_atom_site_fract_x
_atom_site_fract_y
_atom_site_fract_z
Hf1 0.002 0.002 0.231
Hf2 0.192 0.192 0.866
Hf3 0.403 0.403 0.456
Hf4 0.597 0.597 0.544
Hf5 0.808 0.808 0.134
Hf6 0.998 0.998 0.769
Zn1 0.411 0.411 0.998
Zn2 0.589 0.589 0.002
Bi1 0.197 0.197 0.310
Bi2 0.803 0.803 0.690
```

---

Relative energy table, unit kJ/mol of atoms: 1 48.7; 2 0.0

---

1.
VASP calculation (PBE-GGA) on a relaxed structure of HfZr3Bi.

N(E_F) (states/eV/atom): 1.60

Cell and atoms, written as CIF:
```
data_HfZr3Bi
_cell_length_a 5.203
_cell_length_b 5.203
_cell_length_c 5.203
_cell_angle_alpha 90.00
_cell_angle_beta 90.00
_cell_angle_gamma 90.00
_space_group_name_H-M_alt 'P 1'
_space_group_IT_number 1
loop_
_space_group_symop_operation_xyz
'x,y,z'
loop_
_atom_site_label
_atom_site_fract_x
_atom_site_fract_y
_atom_site_fract_z
Hf1 0.000 0.000 0.000
Zr1 0.000 0.000 0.500
Zr2 0.000 0.500 0.000
Zr3 0.500 0.000 0.000
Bi1 0.500 0.500 0.500
```

---

2.
VASP calculation (PBE-GGA) on a relaxed structure of HfZr3Bi.

N(E_F) (states/eV/atom): 0.99

Cell and atoms, written as CIF:
```
data_HfZr3Bi
_cell_length_a 6.695
_cell_length_b 5.125
_cell_length_c 13.999
_cell_angle_alpha 90.00
_cell_angle_beta 101.49
_cell_angle_gamma 90.00
_space_group_name_H-M_alt 'P 1'
_space_group_IT_number 1
loop_
_space_group_symop_operation_xyz
'x,y,z'
loop_
_atom_site_label
_atom_site_fract_x
_atom_site_fract_y
_atom_site_fract_z
Hf1 0.157 0.250 0.032
Hf2 0.279 0.750 0.568
Hf3 0.721 0.250 0.432
Hf4 0.843 0.750 0.968
Zr1 0.052 0.250 0.619
Zr2 0.107 0.750 0.175
Zr3 0.221 0.250 0.429
Zr4 0.336 0.750 0.966
Zr5 0.394 0.250 0.827
Zr6 0.455 0.750 0.381
Zr7 0.545 0.250 0.619
Zr8 0.606 0.750 0.173
Zr9 0.664 0.250 0.034
Zr10 0.779 0.750 0.571
Zr11 0.893 0.250 0.825
Zr12 0.948 0.750 0.381
Bi1 0.094 0.750 0.763
Bi2 0.406 0.250 0.236
Bi3 0.594 0.750 0.764
Bi4 0.906 0.250 0.237
```

---

3.
VASP calculation (PBE-GGA) on a relaxed structure of HfZr3Bi.

N(E_F) (states/eV/atom): 1.13

Cell and atoms, written as CIF:
```
data_HfZr3Bi
_cell_length_a 7.987
_cell_length_b 7.987
_cell_length_c 10.028
_cell_angle_alpha 119.43
_cell_angle_beta 119.43
_cell_angle_gamma 69.38
_space_group_name_H-M_alt 'P 1'
_space_group_IT_number 1
loop_
_space_group_symop_operation_xyz
'x,y,z'
loop_
_atom_site_label
_atom_site_fract_x
_atom_site_fract_y
_atom_site_fract_z
Hf1 0.065 0.648 0.685
Hf2 0.352 0.935 0.815
Hf3 0.648 0.065 0.185
Hf4 0.935 0.352 0.315
Zr1 0.147 0.444 0.937
Zr2 0.159 0.182 0.595
Zr3 0.182 0.159 0.095
Zr4 0.238 0.562 0.412
Zr5 0.438 0.762 0.088
Zr6 0.444 0.147 0.437
Zr7 0.556 0.853 0.563
Zr8 0.562 0.238 0.912
Zr9 0.762 0.438 0.588
Zr10 0.818 0.841 0.905
Zr11 0.841 0.818 0.405
Zr12 0.853 0.556 0.063
Bi1 0.118 0.882 0.250
Bi2 0.487 0.513 0.750
Bi3 0.513 0.487 0.250
Bi4 0.882 0.118 0.750
```

---

4.
VASP calculation (PBE-GGA) on a relaxed structure of HfZr3Bi.

N(E_F) (states/eV/atom): 2.22

Cell and atoms, written as CIF:
```
data_HfZr3Bi
_cell_length_a 5.342
_cell_length_b 5.342
_cell_length_c 5.342
_cell_angle_alpha 90.00
_cell_angle_beta 90.00
_cell_angle_gamma 90.00
_space_group_name_H-M_alt 'P 1'
_space_group_IT_number 1
loop_
_space_group_symop_operation_xyz
'x,y,z'
loop_
_atom_site_label
_atom_site_fract_x
_atom_site_fract_y
_atom_site_fract_z
Hf1 0.000 0.000 0.000
Zr1 0.000 0.500 0.500
Zr2 0.500 0.000 0.500
Zr3 0.500 0.500 0.000
Bi1 0.500 0.500 0.500
```

---

Relative energy table, unit kJ/mol of atoms: 1 94.2; 2 0.0; 3 5.4; 4 112.1

---

1.
VASP calculation (PBE-GGA) on a relaxed structure of Hf2Zr2Bi.

N(E_F) (states/eV/atom): 1.16

Cell and atoms, written as CIF:
```
data_Hf2Zr2Bi
_cell_length_a 7.716
_cell_length_b 7.716
_cell_length_c 4.019
_cell_angle_alpha 90.00
_cell_angle_beta 90.00
_cell_angle_gamma 90.00
_space_group_name_H-M_alt 'P 1'
_space_group_IT_number 1
loop_
_space_group_symop_operation_xyz
'x,y,z'
loop_
_atom_site_label
_atom_site_fract_x
_atom_site_fract_y
_atom_site_fract_z
Hf1 0.130 0.370 0.000
Hf2 0.370 0.870 0.000
Hf3 0.630 0.130 0.000
Hf4 0.870 0.630 0.000
Zr1 0.169 0.669 0.500
Zr2 0.331 0.169 0.500
Zr3 0.669 0.831 0.500
Zr4 0.831 0.331 0.500
Bi1 0.000 0.000 0.000
Bi2 0.500 0.500 0.000
```

---

2.
VASP calculation (PBE-GGA) on a relaxed structure of Hf2Zr2Bi.

N(E_F) (states/eV/atom): 1.35

Cell and atoms, written as CIF:
```
data_Hf2Zr2Bi
_cell_length_a 7.653
_cell_length_b 7.653
_cell_length_c 4.112
_cell_angle_alpha 90.00
_cell_angle_beta 90.00
_cell_angle_gamma 90.00
_space_group_name_H-M_alt 'P 1'
_space_group_IT_number 1
loop_
_space_group_symop_operation_xyz
'x,y,z'
loop_
_atom_site_label
_atom_site_fract_x
_atom_site_fract_y
_atom_site_fract_z
Hf1 0.164 0.336 0.000
Hf2 0.336 0.836 0.000
Hf3 0.664 0.164 0.000
Hf4 0.836 0.664 0.000
Zr1 0.134 0.634 0.500
Zr2 0.366 0.134 0.500
Zr3 0.634 0.866 0.500
Zr4 0.866 0.366 0.500
Bi1 0.000 0.000 0.500
Bi2 0.500 0.500 0.500
```

---

Relative energy table, unit kJ/mol of atoms: 1 0.0; 2 3.7